1.
Computed, not measured: crystalline KNaPrO3 at its relaxed geometry at the PBE-GGA level of DFT.

Cell: 6.7550 6.7550 6.0916 Å, 96.66 96.66 127.66°
Positions (direct):
K: 0.2477 0.7523 0.7500
K: 0.7523 0.2477 0.2500
Na: 0.0600 0.9400 0.2500
Na: 0.9400 0.0600 0.7500
Pr: 0.4283 0.5717 0.2500
Pr: 0.5717 0.4283 0.7500
O: 0.2171 0.3152 0.5045
O: 0.2439 0.7561 0.2500
O: 0.3152 0.2171 0.0045
O: 0.6848 0.7829 0.9955
O: 0.7561 0.2439 0.7500
O: 0.7829 0.6848 0.4955

Results
Its space group is C2/c, No. 15.

2.
Computed, not measured: crystalline K3NaPt2O6 at its relaxed geometry at the PBE-GGA level of DFT.

Cell: 5.6212 5.6212 6.1014 Å, 98.92 98.92 120.02°
Positions (direct):
K: 0.0000 0.0000 0.0000
K: 0.3420 0.6580 0.0000
K: 0.6580 0.3420 0.0000
Na: 0.5000 0.5000 0.5000
Pt: 0.1669 0.8331 0.5000
Pt: 0.8331 0.1669 0.5000
O: 0.0791 0.4386 0.3181
O: 0.2021 0.2021 0.6784
O: 0.4386 0.0791 0.3181
O: 0.5614 0.9209 0.6819
O: 0.7979 0.7979 0.3216
O: 0.9209 0.5614 0.6819

Results
Its space group is C2/m, No. 12.

3.
Computed, not measured: crystalline KNaPt2O4 at its relaxed geometry at the PBE-GGA level of DFT.

Cell: 6.0766 5.9543 5.9543 Å, 40.32 90.00 90.00°
Positions (direct):
K: 0.0000 0.0000 0.0000
Na: 0.5000 0.4120 0.4120
Pt: 0.0000 0.7084 0.7084
Pt: 0.5000 0.7023 0.7023
O: 0.2477 0.5907 0.5907
O: 0.2571 0.8189 0.8189
O: 0.7429 0.8189 0.8189
O: 0.7523 0.5907 0.5907

Results
Its space group is Amm2, No. 38.

4.
Computed, not measured: crystalline K2Na3ReO6 at its relaxed geometry at the PBE-GGA level of DFT.

Cell: 5.8263 5.8263 6.0982 Å, 100.94 100.94 121.22°
Positions (direct):
K: 0.1787 0.8213 0.0000
K: 0.8213 0.1787 0.0000
Na: 0.3331 0.6669 0.5000
Na: 0.5000 0.5000 0.0000
Na: 0.6669 0.3331 0.5000
Re: 0.0000 0.0000 0.5000
O: 0.0824 0.3494 0.7012
O: 0.2028 0.2028 0.3149
O: 0.3494 0.0824 0.7012
O: 0.6506 0.9176 0.2988
O: 0.7972 0.7972 0.6851
O: 0.9176 0.6506 0.2988

Results
Its space group is C2/m, No. 12. The calculation puts the energy above the most stable polymorph in this dataset at 0.0 meV/atom.

5.
Computed, not measured: crystalline K2Na3ReO6 at its relaxed geometry at the PBE-GGA level of DFT.

Cell: 6.1728 6.1728 5.5983 Å, 101.09 101.09 120.33°
Positions (direct):
K: 0.1694 0.8306 0.0000
K: 0.8306 0.1694 0.0000
Na: 0.0000 0.0000 0.5000
Na: 0.3470 0.6530 0.5000
Na: 0.6530 0.3470 0.5000
Re: 0.5000 0.5000 0.0000
O: 0.1746 0.4270 0.7748
O: 0.3118 0.3118 0.2013
O: 0.4270 0.1746 0.7748
O: 0.5730 0.8254 0.2252
O: 0.6882 0.6882 0.7987
O: 0.8254 0.5730 0.2252

Results
Its space group is C2/m, No. 12. The calculation puts the energy above the most stable polymorph in this dataset at 26.4 meV/atom.

6.
Computed, not measured: crystalline K3NaRe2O9 at its relaxed geometry at the PBE-GGA level of DFT.

Cell: 5.9704 5.9704 14.2455 Å, 90.00 90.00 120.00°
Positions (direct):
K: 0.0000 0.0000 0.2500
K: 0.0000 0.0000 0.7500
K: 0.3333 0.6667 0.1137
K: 0.3333 0.6667 0.3863
K: 0.6667 0.3333 0.6137
K: 0.6667 0.3333 0.8863
Na: 0.0000 0.0000 0.0000
Na: 0.0000 0.0000 0.5000
Re: 0.3333 0.6667 0.6481
Re: 0.3333 0.6667 0.8519
Re: 0.6667 0.3333 0.1481
Re: 0.6667 0.3333 0.3519
O: 0.0546 0.5273 0.7500
O: 0.1796 0.3592 0.5912
O: 0.1796 0.3592 0.9088
O: 0.1796 0.8204 0.5912
O: 0.1796 0.8204 0.9088
O: 0.3592 0.1796 0.0912
O: 0.3592 0.1796 0.4088
O: 0.4727 0.5273 0.7500
O: 0.4727 0.9454 0.7500
O: 0.5273 0.0546 0.2500
O: 0.5273 0.4727 0.2500
O: 0.6408 0.8204 0.5912
O: 0.6408 0.8204 0.9088
O: 0.8204 0.1796 0.0912
O: 0.8204 0.1796 0.4088
O: 0.8204 0.6408 0.0912
O: 0.8204 0.6408 0.4088
O: 0.9454 0.4727 0.2500

Results
Its space group is P6_3/mmc, No. 194.

| no. | E_tot (eV per atom) |
| --- | --- |
| 1 | -5.53 |
| 2 | -4.93 |
| 3 | -5.19 |
| 4 | -5.69 |
| 5 | -5.67 |
| 6 | -6.73 |